Material: RbZnF3
Method: DFT, PBE
State: optimized geometry

The value obtained for the energy relative to the elements, uncorrected is -2542 meV/atom. The space group is P6_3/mmc (194). The total energy comes out at -123.4 eV for the cell shown.

Geometry as POSCAR:
```
RbZnF3
1.0
-5.148 -2.840 1.247
1.711 0.749 -5.712
7.187 -12.822 0.472
Rb F Zn
6 18 6
direct
0.667 0.333 0.904 Rb
0.667 0.333 0.596 Rb
0.333 0.667 0.096 Rb
0.000 0.000 0.250 Rb
0.000 0.000 0.750 Rb
0.333 0.667 0.404 Rb
0.517 0.483 0.250 F
0.669 0.835 0.920 F
0.835 0.165 0.420 F
0.835 0.165 0.080 F
0.331 0.165 0.420 F
0.165 0.835 0.920 F
0.835 0.669 0.080 F
0.517 0.035 0.250 F
0.965 0.483 0.250 F
0.835 0.669 0.420 F
0.483 0.517 0.750 F
0.035 0.517 0.750 F
0.165 0.835 0.580 F
0.165 0.331 0.920 F
0.165 0.331 0.580 F
0.331 0.165 0.080 F
0.669 0.835 0.580 F
0.483 0.965 0.750 F
0.667 0.333 0.154 Zn
0.333 0.667 0.846 Zn
0.667 0.333 0.346 Zn
0.333 0.667 0.654 Zn
0.000 0.000 0.500 Zn
0.000 0.000 0.000 Zn
```

Material: Rb2Zn2F7
Method: DFT, PBE
State: optimized geometry

The value obtained for the energy relative to the elements, uncorrected is -2145 meV/atom. The space group is Cmmm (65). As for the energy above the most stable polymorph in this dataset: 141 meV/atom. The total energy comes out at -41.2 eV for the cell shown.

Geometry as POSCAR:
```
Rb2Zn2F7
1.0
5.215 -0.003 -0.196
0.002 6.406 0.004
-0.520 -0.001 5.192
F Zn Rb
7 2 2
direct
0.500 0.800 0.000 F
0.500 0.200 0.000 F
0.500 0.193 0.500 F
0.000 0.000 0.000 F
0.000 0.200 0.500 F
0.500 0.807 0.500 F
0.000 0.800 0.500 F
0.727 0.000 0.273 Zn
0.273 0.000 0.727 Zn
0.235 0.500 0.235 Rb
0.765 0.500 0.765 Rb
```